# GGA-PBEsol TlHg2Rh, relaxed
data_TlHg2Rh
_chemical_formula_sum 'Tl1 Hg2 Rh1'
_symmetry_space_group_name_H-M 'P 1'
_symmetry_Int_Tables_number 1
_symmetry_space_group_name_Hall 'P 1'
_cell_length_a 4.7996
_cell_length_b 4.7996
_cell_length_c 4.7996
_cell_angle_alpha 60.00
_cell_angle_beta 60.00
_cell_angle_gamma 60.00
loop_
_atom_site_label
_atom_site_fract_x
_atom_site_fract_y
_atom_site_fract_z
Tl1 0.2500 0.2500 0.2500
Rh1 0.5000 0.5000 0.5000
Hg1 0.0000 0.0000 0.0000
Hg2 0.7500 0.7500 0.7500
# - DOS at the Fermi energy: 4.45 states/eV/f.u.
# - VASP energy: -0.0983 hartree per atom
# - Formation energy from the elements: 1.21 eV/f.u.



# GGA-PBEsol TlHg2Rh, relaxed
data_TlHg2Rh
_chemical_formula_sum 'Tl1 Hg2 Rh1'
_symmetry_space_group_name_H-M 'P 1'
_symmetry_Int_Tables_number 1
_symmetry_space_group_name_Hall 'P 1'
_cell_length_a 3.3266
_cell_length_b 4.6095
_cell_length_c 5.1206
_cell_angle_alpha 90.00
_cell_angle_beta 90.00
_cell_angle_gamma 90.00
loop_
_atom_site_label
_atom_site_fract_x
_atom_site_fract_y
_atom_site_fract_z
Hg1 0.5000 0.5000 0.0000
Hg2 0.0000 0.0000 0.0000
Rh1 0.5000 0.0000 0.5000
Tl1 0.0000 0.5000 0.5000
# - DOS at the Fermi energy: 1.93 states/eV/f.u.
# - VASP energy: -0.1012 hartree per atom
# - Formation energy from the elements: 0.89 eV/f.u.



# GGA-PBEsol TlHg2Rh, relaxed
data_TlHg2Rh
_chemical_formula_sum 'Tl1 Hg2 Rh1'
_symmetry_space_group_name_H-M 'P 1'
_symmetry_Int_Tables_number 1
_symmetry_space_group_name_Hall 'P 1'
_cell_length_a 3.0491
_cell_length_b 4.5395
_cell_length_c 6.8767
_cell_angle_alpha 109.27
_cell_angle_beta 102.81
_cell_angle_gamma 90.00
loop_
_atom_site_label
_atom_site_fract_x
_atom_site_fract_y
_atom_site_fract_z
Hg1 0.9948 0.9948 0.9896
Hg2 0.8174 0.3174 0.6348
Rh1 0.5015 0.5015 0.0029
Tl1 0.1863 0.6863 0.3726
# - DOS at the Fermi energy: 2.57 states/eV/f.u.
# - VASP energy: -0.1067 hartree per atom
# - Formation energy from the elements: 0.29 eV/f.u.



Repeat the third record exactly.
# GGA-PBEsol TlHg2Rh, relaxed
data_TlHg2Rh
_chemical_formula_sum 'Tl1 Hg2 Rh1'
_symmetry_space_group_name_H-M 'P 1'
_symmetry_Int_Tables_number 1
_symmetry_space_group_name_Hall 'P 1'
_cell_length_a 3.0491
_cell_length_b 4.5395
_cell_length_c 6.8767
_cell_angle_alpha 109.27
_cell_angle_beta 102.81
_cell_angle_gamma 90.00
loop_
_atom_site_label
_atom_site_fract_x
_atom_site_fract_y
_atom_site_fract_z
Hg1 0.9948 0.9948 0.9896
Hg2 0.8174 0.3174 0.6348
Rh1 0.5015 0.5015 0.0029
Tl1 0.1863 0.6863 0.3726
# - DOS at the Fermi energy: 2.57 states/eV/f.u.
# - VASP energy: -0.1067 hartree per atom
# - Formation energy from the elements: 0.29 eV/f.u.



The highest DOS at the Fermi energy belongs to which entry?
number 1



Which of these has the lowest formation energy from the elements?
number 3



The highest formation energy from the elements belongs to which entry?
number 1